# Cu4MoP PBE-GGA relaxed
# * crystal system: cubic
# * ΔE_f: 2.6 eV per formula unit
data_Cu4MoP
_cell_length_a 6.840
_cell_length_b 6.840
_cell_length_c 6.840
_cell_angle_alpha 90.00
_cell_angle_beta 90.00
_cell_angle_gamma 90.00
_symmetry_space_group_name_H-M 'F -4 3 m'
_symmetry_Int_Tables_number 216
_symmetry_space_group_name_Hall 'F -4 2 3'
loop_
_atom_site_label
_atom_site_fract_x
_atom_site_fract_y
_atom_site_fract_z
Cu1 0.125 0.125 0.125
Mo1 0.000 0.000 0.500
P1 0.250 0.250 0.750